Version one
Material: LiLaCo2
Method: DFT, PBE-GGA
State: optimized geometry Values from VASP.

Cell and atoms, written as Quantum ESPRESSO input:
```
&SYSTEM
  ibrav = 0, nat = 4, ntyp = 3
/
ATOMIC_SPECIES
Li 6.94 Li.upf
La 138.91 La.upf
Co 58.93 Co.upf
CELL_PARAMETERS angstrom
-2.057 2.057 3.866
2.057 -2.057 3.866
2.057 2.057 -3.866
ATOMIC_POSITIONS crystal
Li 0.000 0.000 0.000
La 0.750 0.250 0.500
Co 0.250 0.750 0.500
Co 0.500 0.500 0.000
```

- size of the total moment (μB/cell) = 1.94


Version two
Material: LiLaCo2
Method: DFT, PBE-GGA
State: optimized geometry Values from VASP.

Cell and atoms, written as Quantum ESPRESSO input:
```
&SYSTEM
  ibrav = 0, nat = 4, ntyp = 3
/
ATOMIC_SPECIES
Li 6.94 Li.upf
La 138.91 La.upf
Co 58.93 Co.upf
CELL_PARAMETERS angstrom
3.110 0.000 0.000
0.000 3.110 0.000
0.000 0.000 7.488
ATOMIC_POSITIONS crystal
Li 0.000 0.000 0.000
La 0.500 0.500 0.625
Co 0.000 0.000 0.340
Co 0.500 0.500 0.215
```

- size of the total moment (μB/cell) = 3.01


Version three
Material: LiLaCo2
Method: DFT, PBE-GGA
State: optimized geometry Values from VASP.

Cell and atoms, written as Quantum ESPRESSO input:
```
&SYSTEM
  ibrav = 0, nat = 4, ntyp = 3
/
ATOMIC_SPECIES
Li 6.94 Li.upf
La 138.91 La.upf
Co 58.93 Co.upf
CELL_PARAMETERS angstrom
2.102 1.214 4.846
-2.102 1.214 4.846
0.000 -2.428 4.846
ATOMIC_POSITIONS crystal
Li 0.000 0.000 0.000
La 0.500 0.500 0.500
Co 0.319 0.319 0.319
Co 0.681 0.681 0.681
```

- size of the total moment (μB/cell) = 1.68


Stability verdict: version three, ahead by 0.122 eV/atom


Version one
Material: LiLa4Co
Method: DFT, PBE-GGA
State: optimized geometry Values from VASP.

Cell and atoms, written as Quantum ESPRESSO input:
```
&SYSTEM
  ibrav = 0, nat = 6, ntyp = 3
/
ATOMIC_SPECIES
Li 6.94 Li.upf
La 138.91 La.upf
Co 58.93 Co.upf
CELL_PARAMETERS angstrom
0.000 4.569 4.569
4.569 0.000 4.569
4.569 4.569 0.000
ATOMIC_POSITIONS crystal
Li 0.000 0.000 0.000
La 0.377 0.377 0.377
La 0.377 0.377 0.869
La 0.377 0.869 0.377
La 0.869 0.377 0.377
Co 0.750 0.750 0.750
```

- size of the total moment (μB/cell) = 1.67


Version two
Material: LiLa4Co
Method: DFT, PBE-GGA
State: optimized geometry Values from VASP.

Cell and atoms, written as Quantum ESPRESSO input:
```
&SYSTEM
  ibrav = 0, nat = 12, ntyp = 3
/
ATOMIC_SPECIES
Li 6.94 Li.upf
La 138.91 La.upf
Co 58.93 Co.upf
CELL_PARAMETERS angstrom
4.511 -6.992 0.000
4.511 6.992 0.000
-2.617 0.000 5.677
ATOMIC_POSITIONS crystal
Li 0.117 0.883 0.750
Li 0.883 0.117 0.250
La 0.174 0.316 0.845
La 0.196 0.570 0.417
La 0.316 0.174 0.345
La 0.430 0.804 0.083
La 0.570 0.196 0.917
La 0.684 0.826 0.655
La 0.804 0.430 0.583
La 0.826 0.684 0.155
Co 0.490 0.510 0.250
Co 0.510 0.490 0.750
```

- size of the total moment (μB/cell) = 0.00


Stability verdict: version two, ahead by 0.726 eV/atom


Version one
Material: Li3LaCo
Method: DFT, PBE-GGA
State: optimized geometry Values from VASP.

Cell and atoms, written as Quantum ESPRESSO input:
```
&SYSTEM
  ibrav = 0, nat = 5, ntyp = 3
/
ATOMIC_SPECIES
Li 6.94 Li.upf
La 138.91 La.upf
Co 58.93 Co.upf
CELL_PARAMETERS angstrom
4.672 0.000 0.000
0.000 4.672 0.000
0.000 0.000 4.672
ATOMIC_POSITIONS crystal
Li 0.000 0.000 0.500
Li 0.000 0.500 0.000
Li 0.500 0.000 0.000
La 0.500 0.500 0.500
Co 0.000 0.000 0.000
```

- size of the total moment (μB/cell) = 0.00


Version two
Material: Li3LaCo
Method: DFT, PBE-GGA
State: optimized geometry Values from VASP.

Cell and atoms, written as Quantum ESPRESSO input:
```
&SYSTEM
  ibrav = 0, nat = 5, ntyp = 3
/
ATOMIC_SPECIES
Li 6.94 Li.upf
La 138.91 La.upf
Co 58.93 Co.upf
CELL_PARAMETERS angstrom
5.246 0.000 0.000
0.000 5.246 0.000
0.000 0.000 5.246
ATOMIC_POSITIONS crystal
Li 0.000 0.000 0.500
Li 0.000 0.500 0.000
Li 0.500 0.000 0.000
La 0.000 0.000 0.000
Co 0.500 0.500 0.500
```

- size of the total moment (μB/cell) = 2.13


Stability verdict: version one, ahead by 1.366 eV/atom


Version one
Material: LiLa2MgCo
Method: DFT, PBE-GGA
State: optimized geometry Values from VASP.

Cell and atoms, written as Quantum ESPRESSO input:
```
&SYSTEM
  ibrav = 0, nat = 5, ntyp = 4
/
ATOMIC_SPECIES
Li 6.94 Li.upf
La 138.91 La.upf
Mg 24.30 Mg.upf
Co 58.93 Co.upf
CELL_PARAMETERS angstrom
5.189 0.000 0.000
0.000 5.189 0.000
0.000 0.000 5.175
ATOMIC_POSITIONS crystal
Li 0.000 0.000 0.000
La 0.000 0.500 0.500
La 0.500 0.000 0.500
Mg 0.500 0.500 0.000
Co 0.000 0.000 0.500
```

- size of the total moment (μB/cell) = 0.00


Version two
Material: LiLa2MgCo
Method: DFT, PBE-GGA
State: optimized geometry Values from VASP.

Cell and atoms, written as Quantum ESPRESSO input:
```
&SYSTEM
  ibrav = 0, nat = 5, ntyp = 4
/
ATOMIC_SPECIES
Li 6.94 Li.upf
La 138.91 La.upf
Mg 24.30 Mg.upf
Co 58.93 Co.upf
CELL_PARAMETERS angstrom
5.903 0.000 0.000
0.000 5.903 0.000
0.000 0.000 4.501
ATOMIC_POSITIONS crystal
Li 0.000 0.000 0.000
La 0.000 0.500 0.500
La 0.500 0.000 0.500
Mg 0.000 0.000 0.500
Co 0.500 0.500 0.000
```

- size of the total moment (μB/cell) = 1.02


Stability verdict: version one, ahead by 0.892 eV/atom


Version one
Material: LiLa2CoPb
Method: DFT, PBE-GGA
State: optimized geometry Values from VASP.

Cell and atoms, written as Quantum ESPRESSO input:
```
&SYSTEM
  ibrav = 0, nat = 5, ntyp = 4
/
ATOMIC_SPECIES
Li 6.94 Li.upf
La 138.91 La.upf
Co 58.93 Co.upf
Pb 207.20 Pb.upf
CELL_PARAMETERS angstrom
5.232 0.000 0.000
0.000 5.232 0.000
0.000 0.000 4.879
ATOMIC_POSITIONS crystal
Li 0.000 0.000 0.000
La 0.000 0.500 0.500
La 0.500 0.000 0.500
Co 0.000 0.000 0.500
Pb 0.500 0.500 0.000
```

- size of the total moment (μB/cell) = 0.00


Version two
Material: LiLa2CoPb
Method: DFT, PBE-GGA
State: optimized geometry Values from VASP.

Cell and atoms, written as Quantum ESPRESSO input:
```
&SYSTEM
  ibrav = 0, nat = 5, ntyp = 4
/
ATOMIC_SPECIES
Li 6.94 Li.upf
La 138.91 La.upf
Co 58.93 Co.upf
Pb 207.20 Pb.upf
CELL_PARAMETERS angstrom
5.318 0.000 0.000
0.000 5.318 0.000
0.000 0.000 5.080
ATOMIC_POSITIONS crystal
Li 0.000 0.000 0.000
La 0.000 0.500 0.500
La 0.500 0.000 0.500
Co 0.500 0.500 0.500
Pb 0.500 0.500 0.000
```

- size of the total moment (μB/cell) = 0.00


Stability verdict: version one, ahead by 0.069 eV/atom


Version one
Material: LiLaSc2Co
Method: DFT, PBE-GGA
State: optimized geometry Values from VASP.

Cell and atoms, written as Quantum ESPRESSO input:
```
&SYSTEM
  ibrav = 0, nat = 5, ntyp = 4
/
ATOMIC_SPECIES
Li 6.94 Li.upf
La 138.91 La.upf
Sc 44.96 Sc.upf
Co 58.93 Co.upf
CELL_PARAMETERS angstrom
4.986 0.000 0.000
0.000 4.986 0.000
0.000 0.000 5.295
ATOMIC_POSITIONS crystal
Li 0.000 0.000 0.000
La 0.500 0.500 0.000
Sc 0.000 0.500 0.500
Sc 0.500 0.000 0.500
Co 0.500 0.500 0.500
```

- size of the total moment (μB/cell) = 0.00


Version two
Material: LiLaSc2Co
Method: DFT, PBE-GGA
State: optimized geometry Values from VASP.

Cell and atoms, written as Quantum ESPRESSO input:
```
&SYSTEM
  ibrav = 0, nat = 5, ntyp = 4
/
ATOMIC_SPECIES
Li 6.94 Li.upf
La 138.91 La.upf
Sc 44.96 Sc.upf
Co 58.93 Co.upf
CELL_PARAMETERS angstrom
4.772 0.000 0.000
0.000 4.772 0.000
0.000 0.000 5.103
ATOMIC_POSITIONS crystal
Li 0.000 0.000 0.000
La 0.500 0.500 0.000
Sc 0.000 0.500 0.500
Sc 0.500 0.000 0.500
Co 0.000 0.000 0.500
```

- size of the total moment (μB/cell) = 0.00


Stability verdict: version one, ahead by 0.008 eV/atom